Compound: SrZn2Hg
Source: the Alexandria database
Functional: PBE
Structure: optimized geometry

Geometry as CIF:
```
data_SrZn2Hg
_chemical_formula_sum 'Sr1 Zn2 Hg1'
_space_group_name_H-M_alt 'P 4/m m m'
_space_group_IT_number 123
_space_group_name_Hall '-P 4 2'
_cell_length_a 3.8155
_cell_length_b 3.8155
_cell_length_c 6.8225
_cell_angle_alpha 90.00
_cell_angle_beta 90.00
_cell_angle_gamma 90.00
loop_
_atom_site_label
_atom_site_type_symbol
_atom_site_fract_x
_atom_site_fract_y
_atom_site_fract_z
_atom_site_occupancy
Sr1 Sr 0.0000 0.0000 0.0000 1
Zn1 Zn 0.5000 0.5000 0.3000 1
Hg1 Hg 0.0000 0.0000 0.5000 1
```

DOS at the Fermi energy	1.93	states/eV/cell
energy of formation from the pure elements	-0.105	eV per atom
total moment	0.000	μB/f.u.



Compound: SrZn2Hg
Source: the Alexandria database
Functional: PBE
Structure: optimized geometry

Geometry as CIF:
```
data_SrZn2Hg
_chemical_formula_sum 'Sr1 Zn2 Hg1'
_space_group_name_H-M_alt 'P 1 m 1'
_space_group_IT_number 6
_cell_length_a 3.8385
_cell_length_b 4.2982
_cell_length_c 6.3290
_cell_angle_alpha 90.00
_cell_angle_beta 107.63
_cell_angle_gamma 90.00
loop_
_space_group_symop_operation_xyz
'x,y,z'
'x,-y,z'
loop_
_atom_site_label
_atom_site_type_symbol
_atom_site_fract_x
_atom_site_fract_y
_atom_site_fract_z
_atom_site_occupancy
Sr1 Sr 0.0000 0.0000 0.0000 1
Zn1 Zn 0.6260 0.5000 0.2578 1
Zn2 Zn 0.7417 0.0000 0.4702 1
Hg1 Hg 0.3284 0.5000 0.6513 1
```

DOS at the Fermi energy	1.64	states/eV/cell
energy of formation from the pure elements	-0.168	eV per atom
total moment	0.000	μB/f.u.



Compound: Sr7Zn2Hg2
Source: the Alexandria database
Functional: PBE
Structure: optimized geometry

Geometry as CIF:
```
data_Sr7Zn2Hg2
_chemical_formula_sum 'Sr14 Zn4 Hg4'
_space_group_name_H-M_alt 'C m m m'
_space_group_IT_number 65
_space_group_name_Hall '-C 2 2'
_cell_length_a 8.6540
_cell_length_b 12.6027
_cell_length_c 8.1388
_cell_angle_alpha 90.00
_cell_angle_beta 90.00
_cell_angle_gamma 90.00
loop_
_atom_site_label
_atom_site_type_symbol
_atom_site_fract_x
_atom_site_fract_y
_atom_site_fract_z
_atom_site_occupancy
Sr1 Sr 0.0000 0.0000 0.0000 1
Sr2 Sr 0.0000 0.5000 0.2509 1
Sr3 Sr 0.2500 0.2500 0.2700 1
Zn1 Zn 0.0000 0.2935 0.0000 1
Hg1 Hg 0.1753 0.0000 0.5000 1
```

distance to the lowest polymorph of the same formula	142	meV/atom
DOS at the Fermi energy	26.98	states/eV/cell
energy of formation from the pure elements	-0.117	eV per atom
total moment	0.000	μB/f.u.



Compound: Sr2ZnHg
Source: the Alexandria database
Functional: PBE
Structure: optimized geometry

Geometry as CIF:
```
data_Sr2ZnHg
_chemical_formula_sum 'Sr8 Zn4 Hg4'
_space_group_name_H-M_alt 'I -4 2 d'
_space_group_IT_number 122
_space_group_name_Hall 'I -4 2bw'
_cell_length_a 8.6491
_cell_length_b 8.6491
_cell_length_c 7.9826
_cell_angle_alpha 90.00
_cell_angle_beta 90.00
_cell_angle_gamma 90.00
loop_
_atom_site_label
_atom_site_type_symbol
_atom_site_fract_x
_atom_site_fract_y
_atom_site_fract_z
_atom_site_occupancy
Sr1 Sr 0.2427 0.2500 0.1250 1
Zn1 Zn 0.0000 0.0000 0.0000 1
Hg1 Hg 0.0000 0.0000 0.5000 1
```

distance to the lowest polymorph of the same formula	256	meV/atom
DOS at the Fermi energy	14.39	states/eV/cell
energy of formation from the pure elements	-0.100	eV per atom
total moment	0.000	μB/f.u.



Compound: Sr5Zn2Hg
Source: the Alexandria database
Functional: PBE
Structure: optimized geometry

Geometry as CIF:
```
data_Sr5Zn2Hg
_chemical_formula_sum 'Sr20 Zn8 Hg4'
_space_group_name_H-M_alt 'I 4/m c m'
_space_group_IT_number 140
_space_group_name_Hall '-I 4 2c'
_cell_length_a 8.2111
_cell_length_b 8.2111
_cell_length_c 17.4397
_cell_angle_alpha 90.00
_cell_angle_beta 90.00
_cell_angle_gamma 90.00
loop_
_atom_site_label
_atom_site_type_symbol
_atom_site_fract_x
_atom_site_fract_y
_atom_site_fract_z
_atom_site_occupancy
Sr1 Sr 0.0000 0.0000 0.0000 1
Sr2 Sr 0.1744 0.3256 0.1471 1
Zn1 Zn 0.1097 0.3903 0.5000 1
Hg1 Hg 0.0000 0.0000 0.2500 1
```

DOS at the Fermi energy	34.80	states/eV/cell
energy of formation from the pure elements	-0.243	eV per atom
total moment	0.000	μB/f.u.



Compound: SrZn2Hg2
Source: the Alexandria database
Functional: PBE
Structure: optimized geometry

Geometry as CIF:
```
data_SrZn2Hg2
_chemical_formula_sum 'Sr2 Zn4 Hg4'
_space_group_name_H-M_alt 'P -1'
_space_group_IT_number 2
_cell_length_a 6.3031
_cell_length_b 6.5095
_cell_length_c 7.4683
_cell_angle_alpha 73.87
_cell_angle_beta 65.16
_cell_angle_gamma 64.22
loop_
_space_group_symop_operation_xyz
'x,y,z'
'-x,-y,-z'
loop_
_atom_site_label
_atom_site_type_symbol
_atom_site_fract_x
_atom_site_fract_y
_atom_site_fract_z
_atom_site_occupancy
Sr1 Sr 0.1308 0.2445 0.2504 1
Zn1 Zn 0.3095 0.6842 0.9438 1
Zn2 Zn 0.4376 0.8140 0.5569 1
Hg1 Hg 0.1636 0.1705 0.7962 1
Hg2 Hg 0.3590 0.6604 0.3022 1
```

distance to the lowest polymorph of the same formula	27	meV/atom
DOS at the Fermi energy	4.49	states/eV/cell
energy of formation from the pure elements	-0.237	eV per atom
total moment	0.000	μB/f.u.



Compound: Sr2ZnHg
Source: the Alexandria database
Functional: PBE
Structure: optimized geometry

Geometry as CIF:
```
data_Sr2ZnHg
_chemical_formula_sum 'Sr4 Zn2 Hg2'
_space_group_name_H-M_alt 'C 1 2/m 1'
_space_group_IT_number 12
_cell_length_a 8.2134
_cell_length_b 4.7099
_cell_length_c 8.0140
_cell_angle_alpha 90.00
_cell_angle_beta 109.61
_cell_angle_gamma 90.00
loop_
_space_group_symop_operation_xyz
'x,y,z'
'-x,-y,-z'
'-x,y,-z'
'x,-y,z'
'x+1/2,y+1/2,z'
'-x+1/2,-y+1/2,-z'
'-x+1/2,y+1/2,-z'
'x+1/2,-y+1/2,z'
loop_
_atom_site_label
_atom_site_type_symbol
_atom_site_fract_x
_atom_site_fract_y
_atom_site_fract_z
_atom_site_occupancy
Sr1 Sr 0.2475 0.0000 0.2428 1
Zn1 Zn 0.0000 0.5000 0.0000 1
Hg1 Hg 0.0000 0.0000 0.5000 1
```

distance to the lowest polymorph of the same formula	116	meV/atom
DOS at the Fermi energy	5.30	states/eV/cell
energy of formation from the pure elements	-0.240	eV per atom
total moment	0.000	μB/f.u.



Compound: Sr8Zn2Hg
Source: the Alexandria database
Functional: PBE
Structure: optimized geometry

Geometry as CIF:
```
data_Sr8Zn2Hg
_chemical_formula_sum 'Sr16 Zn4 Hg2'
_space_group_name_H-M_alt 'C 1 2/m 1'
_space_group_IT_number 12
_cell_length_a 20.6426
_cell_length_b 5.6889
_cell_length_c 7.9515
_cell_angle_alpha 90.00
_cell_angle_beta 106.70
_cell_angle_gamma 90.00
loop_
_space_group_symop_operation_xyz
'x,y,z'
'-x,-y,-z'
'-x,y,-z'
'x,-y,z'
'x+1/2,y+1/2,z'
'-x+1/2,-y+1/2,-z'
'-x+1/2,y+1/2,-z'
'x+1/2,-y+1/2,z'
loop_
_atom_site_label
_atom_site_type_symbol
_atom_site_fract_x
_atom_site_fract_y
_atom_site_fract_z
_atom_site_occupancy
Sr1 Sr 0.0360 0.0000 0.2945 1
Sr2 Sr 0.0938 0.5000 0.9496 1
Sr3 Sr 0.1700 0.5000 0.4711 1
Sr4 Sr 0.2070 0.0000 0.8258 1
Zn1 Zn 0.1854 0.0000 0.2154 1
Hg1 Hg 0.0000 0.5000 0.5000 1
```

distance to the lowest polymorph of the same formula	0	meV/atom
DOS at the Fermi energy	28.27	states/eV/cell
energy of formation from the pure elements	-0.135	eV per atom
total moment	0.000	μB/f.u.



Compound: SrZn2Hg
Source: the Alexandria database
Functional: PBE
Structure: optimized geometry

Geometry as CIF:
```
data_SrZn2Hg
_chemical_formula_sum 'Sr1 Zn2 Hg1'
_space_group_name_H-M_alt 'P m m m'
_space_group_IT_number 47
_cell_length_a 4.1159
_cell_length_b 4.7662
_cell_length_c 5.3683
_cell_angle_alpha 90.00
_cell_angle_beta 90.00
_cell_angle_gamma 90.00
loop_
_space_group_symop_operation_xyz
'x,y,z'
'-x,-y,-z'
'-x,-y,z'
'x,y,-z'
'x,-y,-z'
'-x,y,z'
'-x,y,-z'
'x,-y,z'
loop_
_atom_site_label
_atom_site_type_symbol
_atom_site_fract_x
_atom_site_fract_y
_atom_site_fract_z
_atom_site_occupancy
Sr1 Sr 0.0000 0.0000 0.0000 1
Zn1 Zn 0.5000 0.5000 0.2464 1
Hg1 Hg 0.5000 0.0000 0.5000 1
```

DOS at the Fermi energy	1.70	states/eV/cell
energy of formation from the pure elements	-0.182	eV per atom
total moment	0.000	μB/f.u.



Compound: SrZn2Hg
Source: the Alexandria database
Functional: PBE
Structure: optimized geometry

Geometry as CIF:
```
data_SrZn2Hg
_chemical_formula_sum 'Sr2 Zn4 Hg2'
_space_group_name_H-M_alt 'C 1 2/m 1'
_space_group_IT_number 12
_cell_length_a 6.3338
_cell_length_b 10.1627
_cell_length_c 3.5226
_cell_angle_alpha 90.00
_cell_angle_beta 112.96
_cell_angle_gamma 90.00
loop_
_space_group_symop_operation_xyz
'x,y,z'
'-x,-y,-z'
'-x,y,-z'
'x,-y,z'
'x+1/2,y+1/2,z'
'-x+1/2,-y+1/2,-z'
'-x+1/2,y+1/2,-z'
'x+1/2,-y+1/2,z'
loop_
_atom_site_label
_atom_site_type_symbol
_atom_site_fract_x
_atom_site_fract_y
_atom_site_fract_z
_atom_site_occupancy
Sr1 Sr 0.0000 0.0000 0.0000 1
Zn1 Zn 0.2500 0.2500 0.5000 1
Hg1 Hg 0.0000 0.5000 0.0000 1
```

DOS at the Fermi energy	4.71	states/eV/cell
energy of formation from the pure elements	0.054	eV per atom
total moment	0.000	μB/f.u.



Q: The lowest DOS at the Fermi energy belongs to which entry?
A: number 2



Q: What is the formula in the second record?
A: SrZn2Hg



Copy entry 3 word for word.
Compound: Sr7Zn2Hg2
Source: the Alexandria database
Functional: PBE
Structure: optimized geometry

Geometry as CIF:
```
data_Sr7Zn2Hg2
_chemical_formula_sum 'Sr14 Zn4 Hg4'
_space_group_name_H-M_alt 'C m m m'
_space_group_IT_number 65
_space_group_name_Hall '-C 2 2'
_cell_length_a 8.6540
_cell_length_b 12.6027
_cell_length_c 8.1388
_cell_angle_alpha 90.00
_cell_angle_beta 90.00
_cell_angle_gamma 90.00
loop_
_atom_site_label
_atom_site_type_symbol
_atom_site_fract_x
_atom_site_fract_y
_atom_site_fract_z
_atom_site_occupancy
Sr1 Sr 0.0000 0.0000 0.0000 1
Sr2 Sr 0.0000 0.5000 0.2509 1
Sr3 Sr 0.2500 0.2500 0.2700 1
Zn1 Zn 0.0000 0.2935 0.0000 1
Hg1 Hg 0.1753 0.0000 0.5000 1
```

distance to the lowest polymorph of the same formula	142	meV/atom
DOS at the Fermi energy	26.98	states/eV/cell
energy of formation from the pure elements	-0.117	eV per atom
total moment	0.000	μB/f.u.